Entry 1:
Compound: PO
Source: Alexandria
Functional: PBE-GGA
Structure: optimized geometry

The structure in POSCAR format:
```
PO
1.0
2.6116 0.0000 0.0000
0.0000 2.6116 0.0000
0.0000 0.0000 3.3417
P O
1 1
Direct
0.0000 0.0000 0.5000 P
0.0000 0.0000 0.0000 O
```

Values from the calculation:
The calculation puts the formation energy without anion corrections at -673 meV/atom.

---

Entry 2:
Compound: Sb2RuPb
Source: Alexandria
Functional: PBE-GGA
Structure: optimized geometry

The structure in POSCAR format:
```
Sb2RuPb
1.0
6.4577 0.0000 0.0000
0.0000 6.4577 0.0000
3.2289 3.2289 6.3038
Pb Sb Ru
2 4 2
Direct
0.0000 0.0000 0.0000 Pb
0.7500 0.2500 0.5000 Pb
0.5547 0.1250 0.2500 Sb
0.1953 0.6250 0.2500 Sb
0.3750 0.4453 0.7500 Sb
0.8750 0.8047 0.7500 Sb
0.5000 0.5000 0.0000 Ru
0.2500 0.7500 0.5000 Ru
```

Values from the calculation:
The calculation puts the formation energy without anion corrections at 265 meV/atom.

---

Summary of uncorrected energy in eV/atom
-5.857; -5.042
(order as listed above)
Summary of density in g/cm3
3.42; 6.97
(order as listed above)
Summary of density of states at the Fermi level in states/eV per atom
0.368; 0.677
(order as listed above)